Density functional theory data (PBE) for crystalline Ba2CaZrCd at its relaxed geometry.

Output
Crystal system = tetragonal
Symmetry = P4/mmm, No. 123

Structure (extended XYZ):
```
5
Lattice="6.195 0.000 0.000 0.000 5.962 0.000 0.000 0.000 6.195" Properties=species:S:1:pos:R:3 pbc="T T T"
Ca 0.000 2.981 0.000
Ba 0.000 0.000 3.097
Ba 3.097 0.000 0.000
Zr 0.000 0.000 0.000
Cd 3.097 2.981 3.097
```

***

Density functional theory data (PBE) for crystalline SiRuPb at its relaxed geometry.

Output
Crystal system = tetragonal
Symmetry = I4mm, No. 107

Structure (extended XYZ):
```
3
Lattice="-3.783 4.543 1.887 -5.112 3.440 -0.738 -2.191 -1.453 1.720" Properties=species:S:1:pos:R:3 pbc="T T T"
Pb -2.246 -1.376 1.716
Ru -6.901 5.176 1.319
Si -4.131 1.278 1.555
```

***

Density functional theory data (PBE) for crystalline Sc2WAu at its relaxed geometry.

Output
Crystal system = tetragonal
Symmetry = I-42d, No. 122

Structure (extended XYZ):
```
8
Lattice="4.142 0.000 0.000 0.000 4.142 0.000 2.071 2.071 9.471" Properties=species:S:1:pos:R:3 pbc="T T T"
Sc 3.079 1.036 2.368
Sc 1.063 3.107 2.368
Sc 3.107 3.134 7.104
Sc 5.178 5.150 7.104
Au 0.000 0.000 0.000
Au 4.142 2.071 4.736
W 2.071 2.071 0.000
W 2.071 4.142 4.736
```

***

Number 1: total energy -12.0 eV for the cell shown. Number 2: total energy -18.2 eV for the cell shown. Number 3: total energy -53.6 eV for the cell shown.